## TbCeCd (PBE-GGA)

Data for a geometry-optimized TbCeCd structure.

The structure in POSCAR format:
```
TbCeCd
1.0
-0.548 -3.034 -1.603
-1.557 -1.226 2.855
-5.160 4.504 -2.995
Ce Tb Cd
1 1 1
direct
0.326 0.326 0.652 Ce
0.011 0.011 0.022 Tb
0.663 0.663 0.326 Cd
```

Computed properties:
DOS at the Fermi energy   6.55 states/eV/cell
Excess energy over the best structure of this formula in the dataset   3.7 kJ/mol of atoms
Uncorrected energy   -11.78 eV/f.u.
Space-group type   I4mm, No. 107
Formation energy from the elements   -0.10 eV per atom

***

## Zr2CdTc (PBE-GGA)

Data for a geometry-optimized Zr2CdTc structure.

The structure in POSCAR format:
```
Zr2CdTc
1.0
4.781 0.000 0.000
2.390 4.140 0.000
2.390 1.380 3.904
Tc Zr Cd
1 2 1
direct
0.750 0.750 0.750 Tc
0.000 0.000 0.000 Zr
0.250 0.250 0.250 Zr
0.500 0.500 0.500 Cd
```

Computed properties:
DOS at the Fermi energy   5.36 states/eV/cell
Uncorrected energy   -28.00 eV/f.u.
Space-group type   F-43m, No. 216
Formation energy from the elements   0.09 eV per atom

***

## NaB3Sb (PBE-GGA)

Data for a geometry-optimized NaB3Sb structure.

The structure in POSCAR format:
```
NaB3Sb
1.0
-3.862 1.461 1.676
-1.274 -4.207 0.732
1.822 0.156 4.064
B Na Sb
3 1 1
direct
0.000 0.500 0.000 B
0.000 0.000 0.500 B
0.500 0.000 0.000 B
0.000 0.000 0.000 Na
0.500 0.500 0.500 Sb
```

Computed properties:
Uncorrected formation energy   2569 meV/atom
DOS at the Fermi energy   1.95 states/eV/cell
Excess energy over the best structure of this formula in the dataset   63.7 kJ/mol of atoms
Uncorrected energy   -12.63 eV/f.u.
Space-group type   Pm-3m, No. 221

***

## Pr2AsPd3 (PBE-GGA)

Data for a geometry-optimized Pr2AsPd3 structure.

The structure in POSCAR format:
```
Pr2AsPd3
1.0
-0.910 5.628 -1.480
-0.448 -0.794 -5.819
-7.032 -3.469 4.387
Pr Pd As
4 6 2
direct
0.245 0.755 0.000 Pr
0.755 0.245 0.000 Pr
0.750 0.250 0.500 Pr
0.250 0.750 0.500 Pr
0.342 0.342 0.171 Pd
0.174 0.174 0.349 Pd
0.826 0.826 0.651 Pd
0.658 0.658 0.829 Pd
0.828 0.828 0.171 Pd
0.172 0.172 0.829 Pd
0.334 0.334 0.669 As
0.666 0.666 0.331 As
```

Computed properties:
DOS at the Fermi energy   5.05 states/eV/cell
Uncorrected energy   -35.15 eV/f.u.
Space-group type   Fmmm, No. 69
Formation energy from the elements   -0.89 eV per atom